(a)
First-principles (PBE) data for a geometry-optimized TcH2 structure, as listed in OQMD via LeMat-Bulk.

For the magnetization, the calculation gives 18.0 μB per cell. The calculation puts the calculated volume at 19.22 Å³/atom.

The structure belongs to space group Fd-3m (No. 227, origin choice 2); the cell edges are 7.726, 7.726 and 7.726 Å and the angles 90.00°, 90.00° and 90.00°. The inequivalent atoms are Tc at (0.125, 0.125, 0.125) and H at (0.000, 0.000, 0.000).

(b)
First-principles (PBE) data for a geometry-optimized TcH2 structure, as listed in OQMD via LeMat-Bulk.

For the magnetization, the calculation gives 0.0 μB per cell. The calculation puts the calculated volume at 7.33 Å³/atom.

The structure belongs to space group Fd-3m (No. 227, origin choice 2); the cell edges are 5.603, 5.603 and 5.603 Å and the angles 90.00°, 90.00° and 90.00°. The inequivalent atoms are Tc at (0.125, 0.125, 0.125) and H at (0.000, 0.000, 0.500).

(c)
First-principles (PBE) data for a geometry-optimized TcH2 structure, as listed in OQMD via LeMat-Bulk.

For the magnetization, the calculation gives 0.0 μB per cell. The calculation puts the calculated volume at 6.62 Å³/atom.

The structure belongs to space group P2_1/c (No. 14); the cell edges are 5.179, 4.103 and 4.062 Å and the angles 90.00°, 113.05° and 90.00°. The inequivalent atoms are Tc at (0.194, 0.003, 0.347), H at (0.203, 0.539, 0.353) and H at (0.462, 0.250, 0.231).

What should be chosen as the least stable of them? Choose (a).

(a)
First-principles (PBE) data for a geometry-optimized H2W structure, as listed in OQMD via LeMat-Bulk.

For the magnetization, the calculation gives 0.0 μB per cell. The calculation puts the calculated volume at 6.93 Å³/atom.

The structure belongs to space group Pnma (No. 62); the cell edges are 5.041, 3.098 and 5.325 Å and the angles 90.00°, 90.00° and 90.00°. The inequivalent atoms are H at (0.026, 0.250, 0.167), H at (0.111, 0.750, 0.426) and W at (0.229, 0.750, 0.086).

(b)
First-principles (PBE) data for a geometry-optimized H2W structure, as listed in OQMD via LeMat-Bulk.

For the magnetization, the calculation gives 0.0 μB per cell. The calculation puts the calculated volume at 7.81 Å³/atom.

The structure belongs to space group P4_2/mnm (No. 136); the cell edges are 3.883, 3.883 and 3.107 Å and the angles 90.00°, 90.00° and 90.00°. The inequivalent atoms are H at (0.172, 0.172, 0.000) and W at (0.000, 0.000, 0.500).

(c)
First-principles (PBE) data for a geometry-optimized H2W structure, as listed in OQMD via LeMat-Bulk.

For the magnetization, the calculation gives 0.0 μB per cell. The calculation puts the calculated volume at 8.30 Å³/atom.

The structure belongs to space group Fd-3m (No. 227, origin choice 2); the cell edges are 5.841, 5.841 and 5.841 Å and the angles 90.00°, 90.00° and 90.00°. The inequivalent atoms are H at (0.000, 0.000, 0.000) and W at (0.125, 0.125, 0.625).

What should be chosen as the least stable of them? Choose (c).

(a)
First-principles (PBE) data for a geometry-optimized HW structure, as listed in OQMD via LeMat-Bulk.

For the magnetization, the calculation gives 0.0 μB per cell. The calculation puts the calculated volume at 9.54 Å³/atom.

The structure belongs to space group F-43m (No. 216); the cell edges are 4.241, 4.241 and 4.241 Å and the angles 90.00°, 90.00° and 90.00°. The inequivalent atoms are H at (0.000, 0.000, 0.000) and W at (0.250, 0.250, 0.750).

(b)
First-principles (PBE) data for a geometry-optimized HW structure, as listed in OQMD via LeMat-Bulk.

For the magnetization, the calculation gives 0.0 μB per cell. The calculation puts the calculated volume at 8.94 Å³/atom.

The structure belongs to space group Fm-3m (No. 225); the cell edges are 4.151, 4.151 and 4.151 Å and the angles 90.00°, 90.00° and 90.00°. The inequivalent atoms are H at (0.000, 0.000, 0.000) and W at (0.000, 0.000, 0.500).

What should be chosen as the least stable of them? Choose (a).

(a)
First-principles (PBE) data for a geometry-optimized HW structure, as listed in OQMD via LeMat-Bulk.

For the magnetization, the calculation gives 0.0 μB per cell. The calculation puts the calculated volume at 9.80 Å³/atom.

The structure belongs to space group P-6m2 (No. 187); the cell edges are 2.7716, 2.7716 and 2.9448 Å and the angles 90.00°, 90.00° and 120.00°. The inequivalent atoms are H at (0.0000, 0.0000, 0.0000) and W at (0.6667, 0.3333, 0.5000).

(b)
First-principles (PBE) data for a geometry-optimized HW structure, as listed in OQMD via LeMat-Bulk.

For the magnetization, the calculation gives 0.0 μB per cell. The calculation puts the calculated volume at 8.90 Å³/atom.

The structure belongs to space group P6_3/mmc (No. 194); the cell edges are 2.9425, 2.9425 and 4.7495 Å and the angles 90.00°, 90.00° and 120.00°. The inequivalent atoms are H at (0.0000, 0.0000, 0.0000) and W at (0.3333, 0.6667, 0.2500).

What should be chosen as the least stable of them? Choose (a).

(a)
First-principles (PBE) data for a geometry-optimized Hf structure, as listed in OQMD via LeMat-Bulk.

For the magnetization, the calculation gives 0.0 μB per cell. The calculation puts the calculated volume at 22.37 Å³/atom.

The structure belongs to space group R-3m (No. 166, hexagonal axes); the cell edges are 3.1874, 3.1874 and 22.8801 Å and the angles 90.00°, 90.00° and 120.00°. The inequivalent atoms are Hf at (0.0000, 0.0000, 0.0000) and Hf at (0.0000, 0.0000, 0.2224).

(b)
First-principles (PBE) data for a geometry-optimized Hf structure, as listed in OQMD via LeMat-Bulk.

For the magnetization, the calculation gives 0.0 μB per cell. The calculation puts the calculated volume at 22.00 Å³/atom.

The structure belongs to space group R-3m (No. 166, hexagonal axes); the cell edges are 3.1756, 3.1756 and 7.5569 Å and the angles 90.00°, 90.00° and 120.00°. The inequivalent atoms are Hf at (0.0000, 0.0000, 0.0000).

What should be chosen as the least stable of them? Choose (b).

(a)
First-principles (PBE) data for a geometry-optimized Hf structure, as listed in OQMD via LeMat-Bulk.

For the magnetization, the calculation gives 0.0 μB per cell. The calculation puts the calculated volume at 22.72 Å³/atom.

The structure belongs to space group Fmmm (No. 69); the cell edges are 4.241, 4.376 and 9.794 Å and the angles 90.00°, 90.00° and 90.00°. The inequivalent atoms are Hf at (0.000, 0.000, 0.147).

(b)
First-principles (PBE) data for a geometry-optimized Hf structure, as listed in OQMD via LeMat-Bulk.

For the magnetization, the calculation gives 0.0 μB per cell. The calculation puts the calculated volume at 22.00 Å³/atom.

The structure belongs to space group Im-3m (No. 229); the cell edges are 3.530, 3.530 and 3.530 Å and the angles 90.00°, 90.00° and 90.00°. The inequivalent atoms are Hf at (0.000, 0.000, 0.000).

(c)
First-principles (PBE) data for a geometry-optimized Hf structure, as listed in OQMD via LeMat-Bulk.

For the magnetization, the calculation gives 0.0 μB per cell. The calculation puts the calculated volume at 22.41 Å³/atom.

The structure belongs to space group P6_3/mmc (No. 194); the cell edges are 3.1899, 3.1899 and 10.1732 Å and the angles 90.00°, 90.00° and 120.00°. The inequivalent atoms are Hf at (0.0000, 0.0000, 0.0000) and Hf at (0.3333, 0.6667, 0.2500).

(d)
First-principles (PBE) data for a geometry-optimized Hf structure, as listed in OQMD via LeMat-Bulk.

For the magnetization, the calculation gives 0.0 μB per cell. The calculation puts the calculated volume at 22.22 Å³/atom.

The structure belongs to space group Cmcm (No. 63); the cell edges are 3.157, 5.571 and 5.053 Å and the angles 90.00°, 90.00° and 90.00°. The inequivalent atoms are Hf at (0.000, 0.163, 0.250).

What should be chosen as the least stable of them? Choose (a).

(a)
First-principles (PBE) data for a geometry-optimized Hf structure, as listed in OQMD via LeMat-Bulk.

For the magnetization, the calculation gives 3.0 μB per cell. The calculation puts the calculated volume at 33.86 Å³/atom.

The structure belongs to space group Fd-3m (No. 227, origin choice 2); the cell edges are 6.471, 6.471 and 6.471 Å and the angles 90.00°, 90.00° and 90.00°. The inequivalent atoms are Hf at (0.125, 0.125, 0.125).

(b)
First-principles (PBE) data for a geometry-optimized Hf structure, as listed in OQMD via LeMat-Bulk.

For the magnetization, the calculation gives 0.4 μB per cell. The calculation puts the calculated volume at 22.31 Å³/atom.

The structure belongs to space group I-43m (No. 217); the cell edges are 10.898, 10.898 and 10.898 Å and the angles 90.00°, 90.00° and 90.00°. The inequivalent atoms are Hf at (0.000, 0.000, 0.000), Hf at (0.043, 0.365, 0.635), Hf at (0.092, 0.092, 0.721) and Hf at (0.182, 0.182, 0.182).

What should be chosen as the least stable of them? Choose (a).

(a)
First-principles (PBE) data for a geometry-optimized Hf structure, as listed in OQMD via LeMat-Bulk.

For the magnetization, the calculation gives 0.0 μB per cell. The calculation puts the calculated volume at 22.00 Å³/atom.

The structure belongs to space group R-3m (No. 166, hexagonal axes); the cell edges are 3.1843, 3.1843 and 7.5172 Å and the angles 90.00°, 90.00° and 120.00°. The inequivalent atoms are Hf at (0.0000, 0.0000, 0.0000).

(b)
First-principles (PBE) data for a geometry-optimized Hf structure, as listed in OQMD via LeMat-Bulk.

For the magnetization, the calculation gives 1.9 μB per cell. The calculation puts the calculated volume at 22.20 Å³/atom.

The structure belongs to space group Pm-3n (No. 223); the cell edges are 5.621, 5.621 and 5.621 Å and the angles 90.00°, 90.00° and 90.00°. The inequivalent atoms are Hf at (0.000, 0.000, 0.000) and Hf at (0.000, 0.250, 0.500).

(c)
First-principles (PBE) data for a geometry-optimized Hf structure, as listed in OQMD via LeMat-Bulk.

For the magnetization, the calculation gives 0.0 μB per cell. The calculation puts the calculated volume at 22.08 Å³/atom.

The structure belongs to space group P6/mmm (No. 191); the cell edges are 4.9753, 4.9753 and 3.0897 Å and the angles 90.00°, 90.00° and 120.00°. The inequivalent atoms are Hf at (0.0000, 0.0000, 0.0000) and Hf at (0.3333, 0.6667, 0.5000).

(d)
First-principles (PBE) data for a geometry-optimized Hf structure, as listed in OQMD via LeMat-Bulk.

For the magnetization, the calculation gives 0.0 μB per cell. The calculation puts the calculated volume at 22.43 Å³/atom.

The structure belongs to space group P4_132 (No. 213); the cell edges are 7.655, 7.655 and 7.655 Å and the angles 90.00°, 90.00° and 90.00°. The inequivalent atoms are Hf at (0.043, 0.125, 0.793) and Hf at (0.077, 0.923, 0.423).

What should be chosen as the least stable of them? Choose (b).

(a)
First-principles (PBE) data for a geometry-optimized Hf structure, as listed in OQMD via LeMat-Bulk.

For the magnetization, the calculation gives 0.0 μB per cell. The calculation puts the calculated volume at 22.46 Å³/atom.

The structure belongs to space group Fmmm (No. 69); the cell edges are 3.229, 5.179 and 10.742 Å and the angles 90.00°, 90.00° and 90.00°. The inequivalent atoms are Hf at (0.000, 0.000, 0.136).

(b)
First-principles (PBE) data for a geometry-optimized Hf structure, as listed in OQMD via LeMat-Bulk.

For the magnetization, the calculation gives 0.0 μB per cell. The calculation puts the calculated volume at 22.92 Å³/atom.

The structure belongs to space group I4_1/amd (No. 141, origin choice 2); the cell edges are 5.522, 5.522 and 3.007 Å and the angles 90.00°, 90.00° and 90.00°. The inequivalent atoms are Hf at (0.000, 0.250, 0.375).

(c)
First-principles (PBE) data for a geometry-optimized Hf structure, as listed in OQMD via LeMat-Bulk.

For the magnetization, the calculation gives 0.0 μB per cell. The calculation puts the calculated volume at 22.33 Å³/atom.

The structure belongs to space group P6_3/mmc (No. 194); the cell edges are 3.1947, 3.1947 and 5.0524 Å and the angles 90.00°, 90.00° and 120.00°. The inequivalent atoms are Hf at (0.3333, 0.6667, 0.2500).

(d)
First-principles (PBE) data for a geometry-optimized Hf structure, as listed in OQMD via LeMat-Bulk.

For the magnetization, the calculation gives 0.0 μB per cell. The calculation puts the calculated volume at 26.33 Å³/atom.

The structure belongs to space group P6_3/mmc (No. 194); the cell edges are 4.9606, 4.9606 and 4.9421 Å and the angles 90.00°, 90.00° and 120.00°. The inequivalent atoms are Hf at (0.0000, 0.0000, 0.2500) and Hf at (0.3333, 0.6667, 0.2500).

What should be chosen as the least stable of them? Choose (d).

(a)
First-principles (PBE) data for a geometry-optimized HfHgIr structure, as listed in OQMD via LeMat-Bulk.

For the magnetization, the calculation gives 0.0 μB per cell. The calculation puts the calculated volume at 21.70 Å³/atom.

The structure belongs to space group F-43m (No. 216); the cell edges are 6.386, 6.386 and 6.386 Å and the angles 90.00°, 90.00° and 90.00°. The inequivalent atoms are Hf at (0.000, 0.000, 0.000), Hg at (0.000, 0.000, 0.500) and Ir at (0.250, 0.250, 0.750).

(b)
First-principles (PBE) data for a geometry-optimized HfHgIr structure, as listed in OQMD via LeMat-Bulk.

For the magnetization, the calculation gives 0.0 μB per cell. The calculation puts the calculated volume at 21.87 Å³/atom.

The structure belongs to space group F-43m (No. 216); the cell edges are 6.403, 6.403 and 6.403 Å and the angles 90.00°, 90.00° and 90.00°. The inequivalent atoms are Hf at (0.000, 0.000, 0.000), Hg at (0.250, 0.250, 0.750) and Ir at (0.250, 0.250, 0.250).

What should be chosen as the least stable of them? Choose (b).